Record 1
{"formula": "MgCuPd5", "functional": "PBE", "state": "relaxed", "cell": [[2.687, -3.940, 0.000], [2.687, 3.940, 0.000], [0.000, 0.000, 5.508]], "species": ["Mg", "Cu", "Pd", "Pd", "Pd", "Pd", "Pd"], "fractional_positions": [[0.000, 0.000, 0.000], [0.500, 0.500, 0.500], [0.000, 0.000, 0.500], [0.000, 0.500, 0.248], [0.000, 0.500, 0.752], [0.500, 0.000, 0.248], [0.500, 0.000, 0.752]], "de_polymorph_ev_per_atom": 0.0000, "e_tot_ev_per_atom": -4.639, "vol_a3_per_cell": 116.6, "spacegroup": "No. 65"}

=====

Record 2
{"formula": "Mg8Cu2Pd", "functional": "PBE", "state": "relaxed", "cell": [[7.568, -2.255, 0.000], [7.568, 2.255, 0.000], [-2.576, 0.000, 6.104]], "species": ["Mg", "Mg", "Mg", "Mg", "Mg", "Mg", "Mg", "Mg", "Cu", "Cu", "Pd"], "fractional_positions": [[0.026, 0.026, 0.275], [0.185, 0.185, 0.768], [0.331, 0.331, 0.563], [0.398, 0.398, 0.053], [0.602, 0.602, 0.947], [0.669, 0.669, 0.437], [0.815, 0.815, 0.232], [0.974, 0.974, 0.725], [0.183, 0.183, 0.175], [0.817, 0.817, 0.825], [0.500, 0.500, 0.500]], "de_polymorph_ev_per_atom": 0.0000, "e_tot_ev_per_atom": -2.551, "vol_a3_per_cell": 208.3, "spacegroup": "No. 12"}